Density functional theory data (PBE) for crystalline MgZnSn2 at its relaxed geometry.

a b c (Å): 4.5965 4.5965 4.3319
angles (deg): 90.00 90.00 90.00
Last column: nearest neighbours and their distance in Å.
Sites, in units of the cell vectors:
Mg 0.0000 0.0000 0.0000  8 Sn 3.16, 4 Zn 3.25
Zn 0.5000 0.5000 0.0000  8 Sn 3.16, 4 Mg 3.25
Sn 0.0000 0.5000 0.5000  4 Zn 3.16, 4 Mg 3.16, 4 Sn 3.25
Sn 0.5000 0.0000 0.5000  4 Zn 3.16, 4 Mg 3.16, 4 Sn 3.25

Output
N(E_F)   2.18 states/eV/f.u.
VASP energy   -2.72 eV per atom


Density functional theory data (PBE) for crystalline LiPa2TiO8 at its relaxed geometry.

a b c (Å): 4.7403 7.0905 4.7419
angles (deg): 90.00 90.93 90.00
Last column: nearest neighbours and their distance in Å.
Sites, in units of the cell vectors:
Li 0.0000 0.0000 0.0000  2 O 2.04
Pa 0.5000 0.2473 0.5000  6 O 2.11-2.25
Pa 0.5000 0.7527 0.5000  6 O 2.11-2.25
Ti 0.0000 0.5000 0.0000  6 O 1.97-2.00
O 0.1897 0.2849 0.8088  1 Ti 2.00, 1 Pa 2.11
O 0.1897 0.7151 0.8088  1 Ti 2.00, 1 Pa 2.11
O 0.2964 0.5000 0.2948  1 Ti 1.97
O 0.3069 0.0000 0.3058  1 Li 2.04, 2 Pa 2.18
O 0.6931 0.0000 0.6942  1 Li 2.04, 2 Pa 2.18
O 0.7036 0.5000 0.7052  1 Ti 1.97
O 0.8103 0.2849 0.1912  1 Ti 2.00, 1 Pa 2.11
O 0.8103 0.7151 0.1912  1 Ti 2.00, 1 Pa 2.11

Output
N(E_F)   6.20 states/eV/f.u.
E_form (uncorrected)   -2.985 eV/atom
VASP energy   -8.69 eV per atom


Density functional theory data (PBE) for crystalline Pm8BiSb4Te3 at its relaxed geometry.

a b c (Å): 9.0036 9.0036 9.0036
angles (deg): 59.89 59.89 59.89
Last column: nearest neighbours and their distance in Å.
Sites, in units of the cell vectors:
Pm 0.2463 0.7477 0.7477  3 Sb 3.14-3.15, 1 Bi 3.21, 2 Te 3.22
Pm 0.2466 0.2466 0.2466  3 Sb 3.14, 3 Te 3.22
Pm 0.2523 0.2523 0.7537  3 Sb 3.14-3.15, 1 Bi 3.21, 2 Te 3.22
Pm 0.2523 0.7537 0.2523  3 Sb 3.14-3.15, 1 Bi 3.21, 2 Te 3.22
Pm 0.7477 0.2463 0.7477  3 Sb 3.14-3.15, 1 Bi 3.21, 2 Te 3.22
Pm 0.7477 0.7477 0.2463  3 Sb 3.14-3.15, 1 Bi 3.21, 2 Te 3.22
Pm 0.7534 0.7534 0.7534  3 Sb 3.14, 3 Te 3.22
Pm 0.7537 0.2523 0.2523  3 Sb 3.14-3.15, 1 Bi 3.21, 2 Te 3.22
Bi 0.0000 0.0000 0.0000  6 Pm 3.21
Sb 0.0000 0.0000 0.5000  6 Pm 3.14
Sb 0.0000 0.5000 0.0000  6 Pm 3.14
Sb 0.5000 0.0000 0.0000  6 Pm 3.14
Sb 0.5000 0.5000 0.5000  6 Pm 3.15
Te 0.0000 0.5000 0.5000  6 Pm 3.22
Te 0.5000 0.0000 0.5000  6 Pm 3.22
Te 0.5000 0.5000 0.0000  6 Pm 3.22

Output
N(E_F)   6.35 states/eV/f.u.
E_form (uncorrected)   -1.280 eV/atom
VASP energy   -5.52 eV per atom


Density functional theory data (PBE) for crystalline Ba2LiAcTe4 at its relaxed geometry.

a b c (Å): 8.2797 4.8664 8.3634
angles (deg): 90.00 109.15 90.00
Last column: nearest neighbours and their distance in Å.
Sites, in units of the cell vectors:
Ba 0.0000 0.0000 0.0000  6 Te 3.48-3.50
Ba 0.5000 0.5000 0.0000  6 Te 3.52-3.53
Li 0.0000 0.5000 0.5000  6 Te 3.26-3.33
Ac 0.5000 0.0000 0.5000  6 Te 3.31-3.36
Te 0.2420 0.0000 0.7294  1 Ac 3.31, 2 Li 3.33, 3 Ba 3.48-3.53
Te 0.2512 0.5000 0.2703  1 Li 3.26, 2 Ac 3.36, 3 Ba 3.50-3.52
Te 0.7488 0.5000 0.7297  1 Li 3.26, 2 Ac 3.36, 3 Ba 3.50-3.52
Te 0.7580 0.0000 0.2706  1 Ac 3.31, 2 Li 3.33, 3 Ba 3.48-3.53

Output
E_form (uncorrected)   -1.527 eV/atom
VASP energy   -4.33 eV per atom


Density functional theory data (PBE) for crystalline Cu3Tc at its relaxed geometry.

a b c (Å): 2.4861 4.3478 4.7290
angles (deg): 90.00 90.00 90.00
Last column: nearest neighbours and their distance in Å.
Sites, in units of the cell vectors:
Cu 0.0000 0.0000 0.0000  8 Cu 2.49-2.70, 4 Tc 2.65
Cu 0.0000 0.5000 0.3143  8 Cu 2.49-2.64, 4 Tc 2.67
Cu 0.5000 0.0000 0.4941  10 Cu 2.49-2.70, 2 Tc 2.65
Tc 0.5000 0.5000 0.8140  2 Tc 2.49, 10 Cu 2.65-2.67

Output
N(E_F)   4.00 states/eV/f.u.
VASP energy   -5.44 eV per atom


Density functional theory data (PBE) for crystalline La2Fe2Bi at its relaxed geometry.

a b c (Å): 7.5327 7.5327 4.2810
angles (deg): 90.00 90.00 90.00
Last column: nearest neighbours and their distance in Å.
Sites, in units of the cell vectors:
La 0.1817 0.3183 0.0000  6 Fe 3.09-3.13
La 0.3183 0.8183 0.0000  6 Fe 3.09-3.13
La 0.6817 0.1817 0.0000  6 Fe 3.09-3.13
La 0.8183 0.6817 0.0000  6 Fe 3.09-3.13
Fe 0.1038 0.6038 0.5000  1 Fe 2.21
Fe 0.3962 0.1038 0.5000  1 Fe 2.21
Fe 0.6038 0.8962 0.5000  1 Fe 2.21
Fe 0.8962 0.3962 0.5000  1 Fe 2.21
Bi 0.0000 0.0000 0.5000  4 Fe 3.09
Bi 0.5000 0.5000 0.5000  4 Fe 3.09

Output
N(E_F)   5.50 states/eV/f.u.
VASP energy   -6.30 eV per atom


What did the first record say?
Density functional theory data (PBE) for crystalline MgZnSn2 at its relaxed geometry.

a b c (Å): 4.5965 4.5965 4.3319
angles (deg): 90.00 90.00 90.00
Last column: nearest neighbours and their distance in Å.
Sites, in units of the cell vectors:
Mg 0.0000 0.0000 0.0000  8 Sn 3.16, 4 Zn 3.25
Zn 0.5000 0.5000 0.0000  8 Sn 3.16, 4 Mg 3.25
Sn 0.0000 0.5000 0.5000  4 Zn 3.16, 4 Mg 3.16, 4 Sn 3.25
Sn 0.5000 0.0000 0.5000  4 Zn 3.16, 4 Mg 3.16, 4 Sn 3.25

Output
N(E_F)   2.18 states/eV/f.u.
VASP energy   -2.72 eV per atom


Q: The highest VASP energy belongs to which entry?
A: MgZnSn2